[1]
The following is a PBE calculation of an optimized crystal structure of Ac2MnCuS6, from Alexandria via LeMat-Bulk.

- total moment (μB per cell) = 6.36
- SG = Pmmn
- E_form (uncorrected) (eV/atom) = -1.17

Cell: 6.613 6.617 9.366 Å, 90.00 90.00 90.00°
Positions (direct):
S  0.000  0.754  0.248
Mn  0.500  0.250  0.500
S  0.748  0.002  0.500
S  0.500  0.246  0.748
Ac  0.000  0.248  0.250
S  0.748  0.498  0.500
S  0.752  0.502  0.000
S  0.752  0.998  0.000
S  0.248  0.998  0.000
Cu  0.000  0.749  0.500
Ac  0.500  0.752  0.750
Ac  0.000  0.248  0.750
Ac  0.500  0.752  0.250
Mn  0.000  0.750  0.000
S  0.252  0.498  0.500
S  0.500  0.246  0.252
S  0.252  0.002  0.500
Cu  0.500  0.251  0.000
S  0.000  0.754  0.752
S  0.248  0.502  0.000


[2]
The following is a PBE calculation of an optimized crystal structure of Ac2MnCuSe5, from Alexandria via LeMat-Bulk.

- total moment (μB per cell) = 7.98
- SG = Cmc2_1
- E_form (uncorrected) (eV/atom) = -1.25

Cell: 4.200 9.273 12.046 Å, 90.00 90.00 103.09°
Positions (direct):
Se  0.653  0.305  0.507
Se  0.500  0.000  0.776
Mn  0.199  0.398  0.016
Se  0.347  0.695  0.007
Ac  0.127  0.253  0.308
Se  0.711  0.423  0.160
Ac  0.118  0.235  0.701
Ac  0.882  0.765  0.201
Se  0.938  0.876  0.547
Se  0.699  0.398  0.862
Ac  0.873  0.747  0.808
Se  0.301  0.602  0.362
Se  0.062  0.124  0.047
Cu  0.428  0.857  0.447
Se  0.289  0.577  0.660
Se  0.500  0.000  0.276
Cu  0.572  0.143  0.947
Mn  0.801  0.602  0.516


[3]
The following is a PBE calculation of an optimized crystal structure of Ac2MnCu3Sn4, from Alexandria via LeMat-Bulk.

- total moment (μB per cell) = 4.05
- SG = P-4m2
- ΔH_f (0 K) (eV per atom) = -0.40

Cell: 4.607 4.607 10.995 Å, 90.00 90.00 90.00°
Positions (direct):
Sn  0.500  0.500  0.000
Mn  0.500  0.500  0.500
Cu  0.000  0.500  0.132
Sn  0.000  0.000  0.000
Sn  0.500  0.000  0.630
Cu  0.500  0.000  0.868
Cu  0.000  0.000  0.500
Sn  0.000  0.500  0.370
Ac  0.500  0.000  0.253
Ac  0.000  0.500  0.747


- What is the total moment in the third record?
  4.05 μB per cell